CoS2O | Alexandria | PBE with a Hubbard U | optimized geometry; density of states at the Fermi level = 1.55 states/eV per cell; space group = R-3m (166); DFT total energy = -4.608 eV per atom; ρ = 4.03 g/cm3
1.0
1.980 0.000 5.625
-0.990 1.715 5.625
-0.990 -1.715 5.625
S Co O
2 1 1
Cartesian
0.000 0.000 15.123
0.000 0.000 1.752
0.000 0.000 8.438
0.000 0.000 0.000